No. 1
This record from Alexandria describes a relaxed structure of Hf2Se. The functional is PBE.

Unit cell a=3.493 b=5.795 c=12.521 alpha=90.00 beta=90.00 gamma=90.00
Sites, in units of the cell vectors:
Se 0.750 0.750 0.500
Se 0.250 0.250 0.500
Se 0.250 0.750 0.000
Se 0.750 0.250 0.000
Hf 0.250 0.585 0.347
Hf 0.250 0.415 0.847
Hf 0.250 0.915 0.653
Hf 0.750 0.415 0.653
Hf 0.750 0.585 0.153
Hf 0.750 0.085 0.347
Hf 0.750 0.915 0.847
Hf 0.250 0.085 0.153

Output
- Magnetic moment: 0.0 μB/f.u.
- ΔE_f (raw): -0.600 eV/atom
- Final energy: -8.397 eV/atom
- Symmetry: Cmce

***

No. 2
This record from Alexandria describes a relaxed structure of Hf2Se. The functional is PBE.

Unit cell a=3.439 b=3.439 c=12.300 alpha=90.00 beta=90.00 gamma=120.00
Sites, in units of the cell vectors:
Hf 0.333 0.667 0.094
Hf 0.333 0.667 0.406
Hf 0.667 0.333 0.594
Hf 0.667 0.333 0.906
Se 0.000 0.000 0.250
Se 0.000 0.000 0.750

Output
- Magnetic moment: 0.0 μB/f.u.
- ΔE_f (raw): -0.817 eV/atom
- Final energy: -8.614 eV/atom
- Symmetry: P6_3/mmc

***

No. 3
This record from Alexandria describes a relaxed structure of Hf4Se. The functional is PBE.

Unit cell a=4.920 b=4.920 c=4.920 alpha=90.00 beta=90.00 gamma=90.00
Sites, in units of the cell vectors:
Hf 0.000 0.000 0.000
Hf 0.000 0.500 0.500
Hf 0.500 0.000 0.500
Hf 0.500 0.500 0.000
Se 0.500 0.500 0.500

Output
- Magnetic moment: 0.0 μB/f.u.
- ΔE_f (raw): 0.048 eV/atom
- Final energy: -8.611 eV/atom
- Symmetry: Pm-3m

***

No. 4
This record from Alexandria describes a relaxed structure of Hf3Se2. The functional is PBE.

Unit cell a=6.457 b=6.457 c=11.230 alpha=101.15 beta=101.15 gamma=109.11
Sites, in units of the cell vectors:
Hf 0.460 0.437 0.311
Hf 0.548 0.048 0.500
Hf 0.298 0.298 0.000
Hf 0.702 0.702 0.000
Hf 0.851 0.874 0.311
Hf 0.687 0.210 0.811
Hf 0.952 0.452 0.500
Hf 0.126 0.149 0.689
Hf 0.124 0.601 0.811
Hf 0.563 0.540 0.689
Hf 0.790 0.313 0.189
Hf 0.399 0.876 0.189
Se 0.171 0.671 0.342
Se 0.079 0.079 0.158
Se 0.763 0.763 0.525
Se 0.237 0.237 0.475
Se 0.487 0.987 0.975
Se 0.013 0.513 0.025
Se 0.921 0.921 0.842
Se 0.329 0.829 0.658

Output
- Magnetic moment: 0.0 μB/f.u.
- ΔE_f (raw): -0.687 eV/atom
- Final energy: -8.053 eV/atom
- Symmetry: Fddd

***

Which formula does entry 2 have?
Hf2Se

***

Which of these has the lowest ΔE_f (raw)?
number 2

***

What is the formula in the first record?
Hf2Se